The following is a PBE calculation of ZnTcSb after structural relaxation, from Alexandria.

Cell: 3.159 3.159 6.566 Å, 90.00 90.00 120.00°
Each line ends with the local moment (μB).
Positions (direct):
Sb1 0.000 0.000 0.034  0.00
Tc1 0.667 0.333 0.333  0.09
Zn1 0.333 0.667 0.633  0.00

Values from the calculation:
* formation energy without anion corrections: 0.263 eV/atom
* size of the total moment: 0.09 μB/f.u.
* ΔE to the lowest computed polymorph: 264 meV per atom



The following is a PBE calculation of MgAlAg2 after structural relaxation, from Alexandria.

Cell: 4.523 4.523 3.401 Å, 90.00 90.00 90.00°
Positions (direct):
Mg1 0.000 0.500 0.500
Al1 0.500 0.000 0.500
Ag1 0.000 0.000 0.000
Ag2 0.500 0.500 0.000

Values from the calculation:
* size of the total moment: 0.00 μB/f.u.
* ΔE to the lowest computed polymorph: 24 meV per atom
* DFT formation energy: -149 meV per atom



The following is a PBE calculation of Tl2SeCl after structural relaxation, from Alexandria.

Cell: 8.747 8.747 8.747 Å, 28.53 28.53 28.53°
Positions (direct):
Cl1 0.516 0.516 0.516
Se1 0.729 0.729 0.729
Tl1 0.011 0.011 0.011
Tl2 0.244 0.244 0.244

Values from the calculation:
* formation energy without anion corrections: -0.423 eV/atom
* size of the total moment: 0.00 μB/f.u.
* ΔE to the lowest computed polymorph: 159 meV per atom



The following is a PBE calculation of Dy3Ga4 after structural relaxation, from Alexandria.

Cell: 4.128 4.249 9.584 Å, 102.81 102.44 90.00°
Positions (direct):
Dy1 0.500 0.000 0.000
Dy2 0.185 0.185 0.370
Dy3 0.815 0.815 0.630
Ga1 0.067 0.567 0.134
Ga2 0.933 0.433 0.866
Ga3 0.646 0.646 0.293
Ga4 0.354 0.354 0.707

Values from the calculation:
* size of the total moment: 0.00 μB/f.u.
* ΔE to the lowest computed polymorph: 0 meV per atom
* DFT formation energy: -632 meV per atom



The following is a PBE calculation of SrZnPb after structural relaxation, from Alexandria.

Cell: 4.710 4.710 18.963 Å, 90.00 90.00 120.00°
Positions (direct):
Pb1 0.333 0.667 0.881
Pb2 0.333 0.667 0.619
Pb3 0.667 0.333 0.119
Pb4 0.667 0.333 0.381
Sr1 0.000 0.000 0.250
Sr2 0.000 0.000 0.750
Sr3 0.000 0.000 0.500
Sr4 0.000 0.000 0.000
Zn1 0.333 0.667 0.135
Zn2 0.333 0.667 0.365
Zn3 0.667 0.333 0.865
Zn4 0.667 0.333 0.635

Values from the calculation:
* size of the total moment: 0.00 μB/f.u.
* DFT formation energy: -363 meV per atom



The following is a PBE calculation of NbSnTeN2 after structural relaxation, from Alexandria.

Cell: 4.086 4.086 5.838 Å, 90.00 90.00 90.00°
Positions (direct):
Nb1 0.500 0.500 0.500
Te1 0.000 0.000 0.500
Sn1 0.000 0.000 0.000
N1 0.000 0.500 0.000
N2 0.500 0.000 0.000

Values from the calculation:
* formation energy without anion corrections: 1.533 eV/atom
* size of the total moment: 0.00 μB/f.u.
* ΔE to the lowest computed polymorph: 1186 meV per atom